[1]
Compound: Ac2SiPRh6
Source: Alexandria via LeMat-Bulk
Functional: PBE
Structure: relaxed

Computed properties:
* E_tot: -70.046 eV/f.u.
* formation energy from raw total energies: -6.9 eV/f.u.

Unit cell a=6.474 b=6.474 c=6.474 alpha=120.07 beta=119.93 gamma=90.01
Fractional coordinates of all 10 atoms:
Ac  0.250  0.250  0.000
Ac  0.750  0.750  0.000
Si  0.500  0.000  0.500
P  0.000  0.500  0.500
Rh  0.247  0.253  0.500
Rh  0.247  0.747  0.500
Rh  0.247  0.747  0.994
Rh  0.753  0.253  0.006
Rh  0.753  0.253  0.500
Rh  0.753  0.747  0.500


[2]
Compound: ZnP2Ru
Source: Alexandria via LeMat-Bulk
Functional: PBE
Structure: relaxed

Computed properties:
* E_tot: -21.554 eV/f.u.
* E_form: -46 meV/atom

Unit cell a=4.294 b=3.410 c=8.185 alpha=90.00 beta=90.00 gamma=90.00
Fractional coordinates of all 8 atoms:
Zn  0.000  0.000  0.000
Zn  0.000  0.500  0.500
P  0.000  0.000  0.281
P  0.000  0.500  0.781
P  0.500  0.000  0.707
P  0.500  0.500  0.207
Ru  0.500  0.000  0.413
Ru  0.500  0.500  0.913


[3]
Compound: Ca8MgPd2
Source: Alexandria via LeMat-Bulk
Functional: PBE
Structure: relaxed

Computed properties:
* E_tot: -31.211 eV/f.u.
* E_form: -293 meV/atom

Unit cell a=8.254 b=8.254 c=5.866 alpha=97.37 beta=97.37 gamma=111.94
Fractional coordinates of all 11 atoms:
Ca  0.000  0.000  0.000
Ca  0.056  0.321  0.622
Ca  0.136  0.635  0.205
Ca  0.321  0.056  0.622
Ca  0.449  0.715  0.788
Ca  0.635  0.136  0.205
Ca  0.715  0.449  0.788
Ca  0.770  0.770  0.410
Mg  0.384  0.384  0.203
Pd  0.070  0.701  0.705
Pd  0.701  0.070  0.705


[4]
Compound: K3Pd3RuO8
Source: Alexandria via LeMat-Bulk
Functional: PBE
Structure: relaxed

Computed properties:
* E_tot: -81.128 eV/f.u.
* formation energy from raw total energies: -13.3 eV/f.u.

Unit cell a=7.144 b=7.144 c=6.785 alpha=116.26 beta=116.26 gamma=50.82
Fractional coordinates of all 15 atoms:
K  0.000  0.000  0.000
K  0.000  0.500  0.000
K  0.500  0.000  0.000
Pd  0.000  0.500  0.500
Pd  0.500  0.000  0.500
Pd  0.500  0.500  0.500
Ru  0.000  0.000  0.500
O  0.179  0.179  0.600
O  0.215  0.733  0.291
O  0.267  0.785  0.709
O  0.313  0.313  0.388
O  0.687  0.687  0.612
O  0.733  0.215  0.291
O  0.785  0.267  0.709
O  0.821  0.821  0.400


[5]
Compound: Ho5Mg5Ag2
Source: Alexandria via LeMat-Bulk
Functional: PBE
Structure: relaxed

Computed properties:
* E_tot: -37.802 eV/f.u.
* E_form: -103 meV/atom

Unit cell a=5.817 b=5.817 c=12.828 alpha=106.26 beta=106.26 gamma=48.15
Fractional coordinates of all 12 atoms:
Ho  0.000  0.000  0.000
Ho  0.163  0.163  0.413
Ho  0.492  0.492  0.210
Ho  0.508  0.508  0.790
Ho  0.837  0.837  0.587
Mg  0.164  0.164  0.673
Mg  0.271  0.271  0.927
Mg  0.500  0.500  0.500
Mg  0.729  0.729  0.073
Mg  0.836  0.836  0.327
Ag  0.208  0.208  0.203
Ag  0.792  0.792  0.797


[6]
Compound: CaLa4Tl5
Source: Alexandria via LeMat-Bulk
Functional: PBE
Structure: relaxed

Computed properties:
* E_tot: -37.904 eV/f.u.
* E_form: -436 meV/atom

Unit cell a=3.845 b=3.845 c=20.987 alpha=90.00 beta=90.00 gamma=90.00
Fractional coordinates of all 10 atoms:
Ca  0.000  0.000  0.000
La  0.000  0.000  0.193
La  0.000  0.000  0.398
La  0.000  0.000  0.602
La  0.000  0.000  0.807
Tl  0.500  0.500  0.092
Tl  0.500  0.500  0.295
Tl  0.500  0.500  0.500
Tl  0.500  0.500  0.705
Tl  0.500  0.500  0.908


[7]
Compound: Fe2AsPbC
Source: Alexandria via LeMat-Bulk
Functional: PBE
Structure: relaxed

Computed properties:
* E_tot: -25.109 eV/f.u.
* E_form: 1880 meV/atom

Unit cell a=4.447 b=4.447 c=5.802 alpha=90.00 beta=90.00 gamma=90.00
Fractional coordinates of all 5 atoms:
Fe  0.000  0.500  0.000
Fe  0.500  0.000  0.000
As  0.000  0.000  0.000
Pb  0.000  0.000  0.500
C  0.500  0.500  0.500


[8]
Compound: ThAlB4
Source: Alexandria via LeMat-Bulk
Functional: PBE
Structure: relaxed

Computed properties:
* E_tot: -40.450 eV/f.u.
* E_form: -430 meV/atom

Unit cell a=6.070 b=11.746 c=3.756 alpha=90.00 beta=90.00 gamma=90.00
Fractional coordinates of all 24 atoms:
Th  0.126  0.151  0.000
Th  0.374  0.651  0.000
Th  0.626  0.349  0.000
Th  0.874  0.849  0.000
Al  0.135  0.411  0.000
Al  0.365  0.911  0.000
Al  0.635  0.089  0.000
Al  0.865  0.589  0.000
B  0.030  0.690  0.500
B  0.112  0.545  0.500
B  0.136  0.969  0.500
B  0.215  0.813  0.500
B  0.285  0.313  0.500
B  0.364  0.469  0.500
B  0.388  0.045  0.500
B  0.470  0.190  0.500
B  0.530  0.810  0.500
B  0.612  0.955  0.500
B  0.636  0.531  0.500
B  0.715  0.687  0.500
B  0.785  0.187  0.500
B  0.864  0.031  0.500
B  0.888  0.455  0.500
B  0.970  0.310  0.500


[9]
Compound: TmCdIr
Source: Alexandria via LeMat-Bulk
Functional: PBE
Structure: relaxed

Computed properties:
* E_tot: -15.561 eV/f.u.
* E_form: -438 meV/atom

Unit cell a=6.556 b=6.556 c=6.556 alpha=90.00 beta=90.00 gamma=90.00
Fractional coordinates of all 12 atoms:
Tm  0.000  0.000  0.000
Tm  0.000  0.500  0.500
Tm  0.500  0.000  0.500
Tm  0.500  0.500  0.000
Cd  0.000  0.000  0.500
Cd  0.000  0.500  0.000
Cd  0.500  0.000  0.000
Cd  0.500  0.500  0.500
Ir  0.250  0.250  0.750
Ir  0.250  0.750  0.250
Ir  0.750  0.250  0.250
Ir  0.750  0.750  0.750


[10]
Compound: Ca4ErPb5
Source: Alexandria via LeMat-Bulk
Functional: PBE
Structure: relaxed

Computed properties:
* E_tot: -36.024 eV/f.u.
* E_form: -491 meV/atom

Unit cell a=3.599 b=3.599 c=22.839 alpha=90.00 beta=90.00 gamma=90.00
Fractional coordinates of all 10 atoms:
Ca  0.000  0.000  0.101
Ca  0.000  0.000  0.301
Ca  0.000  0.000  0.699
Ca  0.000  0.000  0.899
Er  0.000  0.000  0.500
Pb  0.500  0.500  0.000
Pb  0.500  0.500  0.202
Pb  0.500  0.500  0.404
Pb  0.500  0.500  0.596
Pb  0.500  0.500  0.798


[11]
Compound: K2LiSb
Source: Alexandria via LeMat-Bulk
Functional: PBE
Structure: relaxed

Computed properties:
* E_tot: -8.938 eV/f.u.
* formation energy from raw total energies: -0.7 eV/f.u.

Unit cell a=6.308 b=8.269 c=5.252 alpha=90.00 beta=90.00 gamma=90.00
Fractional coordinates of all 8 atoms:
K  0.250  0.250  0.000
K  0.250  0.750  0.000
K  0.750  0.250  0.000
K  0.750  0.750  0.000
Li  0.000  0.000  0.500
Li  0.500  0.500  0.500
Sb  0.000  0.500  0.500
Sb  0.500  0.000  0.500


[12]
Compound: Na4Pt3
Source: Alexandria via LeMat-Bulk
Functional: PBE
Structure: relaxed

Computed properties:
* E_tot: -23.376 eV/f.u.
* E_form: 3 meV/atom

Unit cell a=3.483 b=3.483 c=26.891 alpha=90.00 beta=90.00 gamma=90.00
Fractional coordinates of all 14 atoms:
Na  0.000  0.000  0.058
Na  0.000  0.000  0.340
Na  0.000  0.000  0.660
Na  0.000  0.000  0.942
Na  0.500  0.500  0.160
Na  0.500  0.500  0.442
Na  0.500  0.500  0.558
Na  0.500  0.500  0.840
Pt  0.000  0.000  0.234
Pt  0.000  0.000  0.500
Pt  0.000  0.000  0.766
Pt  0.500  0.500  0.000
Pt  0.500  0.500  0.266
Pt  0.500  0.500  0.734